1.
## NaScTeS (PBE)

Data for a relaxed NaScTeS crystal.

Values from the calculation:
As for the formation energy without anion corrections: -5.55 eV per formula unit.

```
data_NaScTeS
_cell_length_a 3.9491
_cell_length_b 3.9491
_cell_length_c 22.2304
_cell_angle_alpha 90.00
_cell_angle_beta 90.00
_cell_angle_gamma 120.00
_space_group_name_H-M_alt 'R 3 m'
_space_group_IT_number 160
_space_group_name_Hall 'R 3 -2"'
loop_
_atom_site_label
_atom_site_fract_x
_atom_site_fract_y
_atom_site_fract_z
Na1 0.0000 0.0000 0.0000
Sc1 0.0000 0.0000 0.1513
Te1 0.0000 0.0000 0.5659
S1 0.0000 0.0000 0.7574
```

***

2.
## Na4Th3ScS8 (PBE)

Data for a relaxed Na4Th3ScS8 crystal.

Values from the calculation:
As for the formation energy without anion corrections: -26.30 eV per formula unit. The value obtained for the density of states at the Fermi level is 0.5763 states/eV/atom.

```
data_Na4Th3ScS8
_cell_length_a 7.9336
_cell_length_b 7.9336
_cell_length_c 20.5093
_cell_angle_alpha 90.00
_cell_angle_beta 90.00
_cell_angle_gamma 120.00
_space_group_name_H-M_alt 'R -3 m'
_space_group_IT_number 166
_space_group_name_Hall '-R 3 2"'
loop_
_atom_site_label
_atom_site_fract_x
_atom_site_fract_y
_atom_site_fract_z
Na1 0.0000 0.0000 0.0000
Na2 0.0000 0.5000 0.0000
Th1 0.0000 0.5000 0.5000
Sc1 0.0000 0.0000 0.5000
S1 0.0000 0.0000 0.2495
S2 0.0159 0.5079 0.2436
```

***

3.
## NaThSc4S8 (PBE)

Data for a relaxed NaThSc4S8 crystal.

Values from the calculation:
As for the formation energy without anion corrections: -24.89 eV per formula unit. The value obtained for the density of states at the Fermi level is 0.3634 states/eV/atom.

```
data_NaThSc4S8
_cell_length_a 7.6839
_cell_length_b 7.6839
_cell_length_c 19.7057
_cell_angle_alpha 90.00
_cell_angle_beta 90.00
_cell_angle_gamma 120.00
_space_group_name_H-M_alt 'R 3 m'
_space_group_IT_number 160
_space_group_name_Hall 'R 3 -2"'
loop_
_atom_site_label
_atom_site_fract_x
_atom_site_fract_y
_atom_site_fract_z
Na1 0.0000 0.0000 0.0000
Th1 0.0000 0.0000 0.3649
Sc1 0.0000 0.0000 0.7381
Sc2 0.0109 0.5054 0.8690
S1 0.0000 0.0000 0.1328
S2 0.0000 0.0000 0.6084
S3 0.0081 0.5040 0.1246
S4 0.1778 0.3557 0.9411
```

***

4.
## Na3ThSc2S6 (PBE)

Data for a relaxed Na3ThSc2S6 crystal.

Values from the calculation:
As for the formation energy without anion corrections: -20.44 eV per formula unit. The value obtained for the density of states at the Fermi level is 0.3936 states/eV/atom.

```
data_Na3ThSc2S6
_cell_length_a 6.708
_cell_length_b 11.626
_cell_length_c 7.073
_cell_angle_alpha 90.00
_cell_angle_beta 108.51
_cell_angle_gamma 90.00
_space_group_name_H-M_alt 'C 1 2/m 1'
_space_group_IT_number 12
loop_
_space_group_symop_operation_xyz
'x,y,z'
'-x,-y,-z'
'-x,y,-z'
'x,-y,z'
'x+1/2,y+1/2,z'
'-x+1/2,-y+1/2,-z'
'-x+1/2,y+1/2,-z'
'x+1/2,-y+1/2,z'
loop_
_atom_site_label
_atom_site_fract_x
_atom_site_fract_y
_atom_site_fract_z
Na1 0.000 0.000 0.000
Na2 0.000 0.335 0.000
Th1 0.000 0.500 0.500
Sc1 0.000 0.167 0.500
S1 0.226 0.000 0.725
S2 0.249 0.326 0.724
```

***

5.
## Na3Th3ScS8 (PBE)

Data for a relaxed Na3Th3ScS8 crystal.

Values from the calculation:
As for the formation energy without anion corrections: -25.53 eV per formula unit. The value obtained for the density of states at the Fermi level is 0.5674 states/eV/atom.

```
data_Na3Th3ScS8
_cell_length_a 7.9938
_cell_length_b 7.9938
_cell_length_c 20.5072
_cell_angle_alpha 90.00
_cell_angle_beta 90.00
_cell_angle_gamma 120.00
_space_group_name_H-M_alt 'R -3 m'
_space_group_IT_number 166
_space_group_name_Hall '-R 3 2"'
loop_
_atom_site_label
_atom_site_fract_x
_atom_site_fract_y
_atom_site_fract_z
Na1 0.0000 0.5000 0.0000
Th1 0.0000 0.5000 0.5000
Sc1 0.0000 0.0000 0.5000
S1 0.0000 0.0000 0.2491
S2 0.0192 0.5096 0.2400
```

***

6.
## Na3ScTi2S6 (PBE)

Data for a relaxed Na3ScTi2S6 crystal.

Values from the calculation:
As for the formation energy without anion corrections: -17.57 eV per formula unit. The value obtained for the density of states at the Fermi level is 0.4993 states/eV/atom.

```
data_Na3ScTi2S6
_cell_length_a 6.305
_cell_length_b 10.931
_cell_length_c 6.992
_cell_angle_alpha 90.00
_cell_angle_beta 107.56
_cell_angle_gamma 90.00
_space_group_name_H-M_alt 'C 1 2/m 1'
_space_group_IT_number 12
loop_
_space_group_symop_operation_xyz
'x,y,z'
'-x,-y,-z'
'-x,y,-z'
'x,-y,z'
'x+1/2,y+1/2,z'
'-x+1/2,-y+1/2,-z'
'-x+1/2,y+1/2,-z'
'x+1/2,-y+1/2,z'
loop_
_atom_site_label
_atom_site_fract_x
_atom_site_fract_y
_atom_site_fract_z
Na1 0.000 0.000 0.000
Na2 0.000 0.335 0.000
Sc1 0.000 0.500 0.500
Ti1 0.000 0.168 0.500
S1 0.229 0.000 0.712
S2 0.242 0.329 0.713
```

***

7.
## Na3Sc2TiS6 (PBE)

Data for a relaxed Na3Sc2TiS6 crystal.

Values from the calculation:
As for the formation energy without anion corrections: -19.09 eV per formula unit. The value obtained for the density of states at the Fermi level is 0.4794 states/eV/atom.

```
data_Na3Sc2TiS6
_cell_length_a 6.422
_cell_length_b 11.124
_cell_length_c 6.983
_cell_angle_alpha 90.00
_cell_angle_beta 107.88
_cell_angle_gamma 90.00
_space_group_name_H-M_alt 'C 1 2/m 1'
_space_group_IT_number 12
loop_
_space_group_symop_operation_xyz
'x,y,z'
'-x,-y,-z'
'-x,y,-z'
'x,-y,z'
'x+1/2,y+1/2,z'
'-x+1/2,-y+1/2,-z'
'-x+1/2,y+1/2,-z'
'x+1/2,-y+1/2,z'
loop_
_atom_site_label
_atom_site_fract_x
_atom_site_fract_y
_atom_site_fract_z
Na1 0.000 0.000 0.000
Na2 0.000 0.332 0.000
Sc1 0.000 0.167 0.500
Ti1 0.000 0.500 0.500
S1 0.234 0.338 0.715
S2 0.248 0.000 0.714
```

***

8.
## Na2Sc2TiS6 (PBE)

Data for a relaxed Na2Sc2TiS6 crystal.

Values from the calculation:
As for the formation energy without anion corrections: -17.62 eV per formula unit.

```
data_Na2Sc2TiS6
_cell_length_a 6.363
_cell_length_b 10.936
_cell_length_c 7.095
_cell_angle_alpha 90.00
_cell_angle_beta 107.65
_cell_angle_gamma 90.00
_space_group_name_H-M_alt 'C 1 2/m 1'
_space_group_IT_number 12
loop_
_space_group_symop_operation_xyz
'x,y,z'
'-x,-y,-z'
'-x,y,-z'
'x,-y,z'
'x+1/2,y+1/2,z'
'-x+1/2,-y+1/2,-z'
'-x+1/2,y+1/2,-z'
'x+1/2,-y+1/2,z'
loop_
_atom_site_label
_atom_site_fract_x
_atom_site_fract_y
_atom_site_fract_z
Na1 0.000 0.169 0.000
Sc1 0.000 0.333 0.500
Ti1 0.000 0.000 0.500
S1 0.231 0.160 0.710
S2 0.247 0.000 0.292
```

***

Mass density: 3.78 4.86 3.42 3.70 4.68 2.91 2.79 2.66 (g/cm3)